Entry 1:
The following is a DFT calculation (PBE-GGA) of a relaxed IrPtW2 crystal.

abc: 6.161 4.891 2.759
angles: 89.94 63.51 120.27
Element x y z (fractional)
W: 0.000 0.000 0.000
W: 0.500 0.000 0.500
Ir: 0.000 0.500 0.500
Pt: 0.500 0.500 0.000

Calculated values
- magnetization (μB/f.u.) = 0.00
- DFT formation energy (kJ/mol of atoms) = -22.8

---

Entry 2:
The following is a DFT calculation (PBE-GGA) of a relaxed IrPt2W crystal.

abc: 4.457 4.457 4.457
angles: 60.00 60.00 60.00
Element x y z (fractional)
Pt: 0.250 0.250 0.250
Pt: 0.750 0.750 0.750
W: 0.000 0.000 0.000
Ir: 0.500 0.500 0.500

Calculated values
- magnetization (μB/f.u.) = 0.00
- DFT formation energy (kJ/mol of atoms) = 15.2

---

Entry 3:
The following is a DFT calculation (PBE-GGA) of a relaxed IrPtW2 crystal.

abc: 4.048 2.755 6.167
angles: 63.44 90.00 90.00
Element x y z (fractional)
Pt: 0.500 0.750 0.750
Ir: 0.500 0.250 0.250
W: 0.000 0.509 0.492
W: 0.000 0.991 0.008

Calculated values
- magnetization (μB/f.u.) = 0.00
- DFT formation energy (kJ/mol of atoms) = -24.5

---

Entry 4:
The following is a DFT calculation (PBE-GGA) of a relaxed IrPtW2 crystal.

abc: 4.894 4.894 4.894
angles: 133.05 133.05 68.57
Element x y z (fractional)
W: 0.000 0.000 0.000
W: 0.500 0.500 0.000
Pt: 0.750 0.250 0.500
Ir: 0.250 0.750 0.500

Calculated values
- magnetization (μB/f.u.) = 0.00
- DFT formation energy (kJ/mol of atoms) = -22.9

---

Entry 5:
The following is a DFT calculation (PBE-GGA) of a relaxed IrPt2W crystal.

abc: 9.335 9.335 9.335
angles: 17.17 17.17 17.17
Element x y z (fractional)
Ir: 0.754 0.754 0.754
Pt: 0.001 0.001 0.001
Pt: 0.247 0.247 0.247
W: 0.498 0.498 0.498

Calculated values
- magnetization (μB/f.u.) = 0.00
- DFT formation energy (kJ/mol of atoms) = -16.7

---

Entry 6:
The following is a DFT calculation (PBE-GGA) of a relaxed Ir2PtW crystal.

abc: 2.782 4.820 5.489
angles: 55.09 90.00 90.00
Element x y z (fractional)
Ir: 0.500 0.500 0.000
Ir: 0.000 0.000 0.000
W: 0.000 0.000 0.500
Pt: 0.500 0.500 0.500

Calculated values
- magnetization (μB/f.u.) = 0.00
- DFT formation energy (kJ/mol of atoms) = -9.8

---

Entry 7:
The following is a DFT calculation (PBE-GGA) of a relaxed IrPt2W crystal.

abc: 9.342 9.342 9.342
angles: 17.13 17.13 17.13
Site moments in Bohr magnetons follow the coordinates.
Element x y z (fractional)
W: 0.250 0.250 0.250  -0.03
Pt: 0.998 0.998 0.998  0.04
Pt: 0.502 0.502 0.502  0.04
Ir: 0.750 0.750 0.750  0.61

Calculated values
- magnetization (μB/f.u.) = 0.66
- DFT formation energy (kJ/mol of atoms) = -3.4

---

Entry 8:
The following is a DFT calculation (PBE-GGA) of a relaxed IrPt2W2 crystal.

abc: 4.650 4.657 4.555
angles: 70.57 70.55 67.46
Element x y z (fractional)
W: 0.320 0.821 0.098
W: 0.680 0.179 0.902
Ir: 0.000 0.500 0.000
Pt: 0.259 0.242 0.500
Pt: 0.741 0.758 0.500

Calculated values
- magnetization (μB/f.u.) = 0.00
- DFT formation energy (kJ/mol of atoms) = 17.2

---

Entry 9:
The following is a DFT calculation (PBE-GGA) of a relaxed IrPt2W crystal.

abc: 2.757 2.757 8.088
angles: 90.00 90.00 90.00
Element x y z (fractional)
Pt: 0.000 0.000 0.496
Pt: 0.000 0.000 0.004
W: 0.500 0.500 0.250
Ir: 0.500 0.500 0.750

Calculated values
- magnetization (μB/f.u.) = 0.00
- DFT formation energy (kJ/mol of atoms) = -6.5

---

Entry 10:
The following is a DFT calculation (PBE-GGA) of a relaxed IrPt3W crystal.

abc: 4.784 4.784 4.784
angles: 90.00 90.00 90.00
Site moments in Bohr magnetons follow the coordinates.
Element x y z (fractional)
Pt: 0.500 0.000 0.000  0.01
Pt: 0.000 0.000 0.500  -0.13
Pt: 0.000 0.500 0.000  -0.07
W: 0.500 0.500 0.500  2.63
Ir: 0.000 0.000 0.000  0.08

Calculated values
- magnetization (μB/f.u.) = 3.32
- DFT formation energy (kJ/mol of atoms) = 186.0

---

Entry 11:
The following is a DFT calculation (PBE-GGA) of a relaxed Ir2PtW crystal.

abc: 4.826 4.826 4.827
angles: 132.32 132.32 69.69
Element x y z (fractional)
Ir: 0.750 0.250 0.500
Ir: 0.000 0.000 0.000
W: 0.250 0.750 0.500
Pt: 0.500 0.500 0.000

Calculated values
- magnetization (μB/f.u.) = 0.00
- DFT formation energy (kJ/mol of atoms) = -17.3

---

Entry 12:
The following is a DFT calculation (PBE-GGA) of a relaxed IrPtW2 crystal.

abc: 4.818 4.818 4.916
angles: 80.56 80.56 33.52
Element x y z (fractional)
W: 0.751 0.751 0.727
W: 0.002 0.002 0.017
Pt: 0.252 0.252 0.236
Ir: 0.495 0.495 0.519

Calculated values
- magnetization (μB/f.u.) = 0.00
- DFT formation energy (kJ/mol of atoms) = -16.4

---

Entry 13:
The following is a DFT calculation (PBE-GGA) of a relaxed Ir2PtW crystal.

abc: 4.824 4.824 4.792
angles: 80.46 80.46 33.40
Element x y z (fractional)
W: 0.253 0.253 0.245
Pt: 0.501 0.501 0.499
Ir: 0.746 0.746 0.755
Ir: 0.000 0.000 0.000

Calculated values
- magnetization (μB/f.u.) = 0.00
- DFT formation energy (kJ/mol of atoms) = -11.2

---

Entry 14:
The following is a DFT calculation (PBE-GGA) of a relaxed IrPtW2 crystal.

abc: 4.063 3.888 3.888
angles: 90.00 90.00 90.00
Element x y z (fractional)
Pt: 0.500 0.000 0.500
Ir: 0.500 0.500 0.000
W: 0.000 0.500 0.500
W: 0.000 0.000 0.000

Calculated values
- magnetization (μB/f.u.) = 0.00
- DFT formation energy (kJ/mol of atoms) = -23.2

---

Entry 15:
The following is a DFT calculation (PBE-GGA) of a relaxed Ir2Pt4W crystal.

abc: 3.923 4.824 6.285
angles: 98.14 90.00 66.01
Element x y z (fractional)
Pt: 0.565 0.870 0.282
Pt: 0.851 0.297 0.419
Pt: 0.149 0.703 0.581
Pt: 0.435 0.130 0.718
Ir: 0.712 0.577 0.871
Ir: 0.288 0.423 0.129
W: 0.000 0.000 0.000

Calculated values
- magnetization (μB/f.u.) = 0.00
- DFT formation energy (kJ/mol of atoms) = -17.5

---

| no. | D(E_F) (states/eV/cell) |
| --- | --- |
| 1 | 2.08 |
| 2 | 5.11 |
| 3 | 1.90 |
| 4 | 2.75 |
| 5 | 3.68 |
| 6 | 4.03 |
| 7 | 4.91 |
| 8 | 4.44 |
| 9 | 6.53 |
| 10 | 9.76 |
| 11 | 4.80 |
| 12 | 2.71 |
| 13 | 4.37 |
| 14 | 2.39 |
| 15 | 5.99 |